1.
A geometry-optimized Sm2YTh4 structure. Source: Alexandria, functional PBE-GGA.

## Properties
ΔE_f = 0.077 eV/atom
Total energy = -6.43 eV/atom
SG = Cmmm
Density = 9.40 Mg/m³
Calculated volume = 33.256 A^3/atom

The structure in POSCAR format:
```
Sm2YTh4
1.0
1.7898 -18.1720 0.0000
1.7898 18.1720 0.0000
0.0000 0.0000 3.5788
Sm Y Th
2 1 4
direct
0.2066 0.7934 0.0000
0.7934 0.2066 0.0000
0.5000 0.5000 0.5000
0.0712 0.9288 0.0000
0.3617 0.6383 0.5000
0.6383 0.3617 0.5000
0.9288 0.0712 0.0000
```


2.
A geometry-optimized Sm3Y2Th3 structure. Source: Alexandria, functional PBE-GGA.

## Properties
ΔE_f = 0.055 eV/atom
Total energy = -6.11 eV/atom
SG = Pmmm
Density = 8.38 Mg/m³
Calculated volume = 32.822 A^3/atom

The structure in POSCAR format:
```
Sm3Y2Th3
1.0
5.0544 0.0000 0.0000
0.0000 5.1190 0.0000
0.0000 0.0000 10.1484
Sm Y Th
3 2 3
direct
0.0000 0.0000 0.0000
0.0000 0.0000 0.5000
0.5000 0.5000 0.0000
0.5000 0.0000 0.2532
0.5000 0.0000 0.7468
0.0000 0.5000 0.2525
0.0000 0.5000 0.7475
0.5000 0.5000 0.5000
```


3.
A geometry-optimized Sm2Y12Th structure. Source: Alexandria, functional PBE-GGA.

## Properties
ΔE_f = 0.181 eV/atom
Total energy = -6.11 eV/atom
SG = Cmme
Density = 5.28 Mg/m³
Calculated volume = 33.524 A^3/atom

The structure in POSCAR format:
```
Sm2Y12Th
1.0
3.5190 -5.7493 0.0000
3.5190 5.7493 0.0000
0.0000 0.0000 24.8550
Sm Y Th
4 24 2
direct
0.2500 0.7500 0.2327
0.2500 0.7500 0.7675
0.7500 0.2500 0.2325
0.7500 0.2500 0.7673
0.0000 0.0000 0.4247
0.0000 0.0000 0.5753
0.0004 0.5004 0.0860
0.0000 0.5000 0.3749
0.0000 0.5000 0.6251
0.9996 0.4996 0.9140
0.0006 0.9994 0.9380
0.2500 0.2500 0.1736
0.2500 0.2500 0.3016
0.2500 0.2500 0.6984
0.2500 0.2500 0.8264
0.4994 0.5006 0.9380
0.4996 0.9996 0.0860
0.5000 0.0000 0.3749
0.5000 0.0000 0.6251
0.5004 0.0004 0.9140
0.5000 0.5000 0.4247
0.5000 0.5000 0.5753
0.5006 0.4994 0.0620
0.7500 0.7500 0.1736
0.7500 0.7500 0.3016
0.7500 0.7500 0.6984
0.7500 0.7500 0.8264
0.9994 0.0006 0.0620
0.2500 0.7500 0.5000
0.7500 0.2500 0.5000
```


4.
A geometry-optimized Sm4Y2Th structure. Source: Alexandria, functional PBE-GGA.

## Properties
ΔE_f = 0.034 eV/atom
Total energy = -5.57 eV/atom
SG = Cm
Density = 7.21 Mg/m³
E above lowest polymorph = 0.0 meV/atom
Calculated volume = 33.291 A^3/atom

The structure in POSCAR format:
```
Sm4Y2Th
1.0
3.1395 -1.8130 0.0000
3.1395 1.8130 0.0000
-2.1441 0.0000 20.4708
Sm Y Th
4 2 1
direct
0.0000 0.0000 0.0000
0.0895 0.0895 0.2825
0.5184 0.5184 0.5679
0.6145 0.6145 0.8538
0.7107 0.7107 0.1410
0.8006 0.8006 0.4248
0.8998 0.8998 0.7112
```


5.
A geometry-optimized Sm6Y4Th structure. Source: Alexandria, functional PBE-GGA.

## Properties
ΔE_f = 0.145 eV/atom
Total energy = -5.45 eV/atom
SG = Cmcm
Density = 6.72 Mg/m³
Calculated volume = 33.452 A^3/atom

The structure in POSCAR format:
```
Sm6Y4Th
1.0
2.9220 -4.8618 0.0000
2.9220 4.8618 0.0000
0.0000 0.0000 25.9018
Sm Y Th
12 8 2
direct
0.0000 0.0000 0.0000
0.0000 0.0000 0.5000
0.0476 0.9524 0.7500
0.2994 0.7006 0.1014
0.2994 0.7006 0.3986
0.3769 0.6231 0.6823
0.3769 0.6231 0.8177
0.6231 0.3769 0.1823
0.6231 0.3769 0.3177
0.7006 0.2994 0.6014
0.7006 0.2994 0.8986
0.9524 0.0476 0.2500
0.0438 0.9562 0.6232
0.0438 0.9562 0.8768
0.3486 0.6514 0.5426
0.3486 0.6514 0.9574
0.6514 0.3486 0.0426
0.6514 0.3486 0.4574
0.9562 0.0438 0.1232
0.9562 0.0438 0.3768
0.2910 0.7090 0.2500
0.7090 0.2910 0.7500
```


6.
A geometry-optimized Sm12Y6Th structure. Source: Alexandria, functional PBE-GGA.

## Properties
ΔE_f = 0.135 eV/atom
Total energy = -5.28 eV/atom
SG = R-3
Density = 6.60 Mg/m³
E above lowest polymorph = 0.0 meV/atom
Calculated volume = 34.041 A^3/atom

The structure in POSCAR format:
```
Sm12Y6Th
1.0
6.0749 3.5074 5.0593
-6.0749 3.5074 5.0593
0.0000 -7.0147 5.0593
Sm Y Th
12 6 1
direct
0.0154 0.3539 0.2019
0.2019 0.0154 0.3539
0.2212 0.5626 0.4631
0.3539 0.2019 0.0154
0.4374 0.5369 0.7788
0.4631 0.2212 0.5626
0.5369 0.7788 0.4374
0.5626 0.4631 0.2212
0.6461 0.7981 0.9846
0.7788 0.4374 0.5369
0.7981 0.9846 0.6461
0.9846 0.6461 0.7981
0.0964 0.2562 0.6981
0.2562 0.6981 0.0964
0.3019 0.9036 0.7438
0.6981 0.0964 0.2562
0.7438 0.3019 0.9036
0.9036 0.7438 0.3019
0.0000 0.0000 0.0000
```


7.
A geometry-optimized SmY4Th3 structure. Source: Alexandria, functional PBE-GGA.

## Properties
ΔE_f = 0.049 eV/atom
Total energy = -6.56 eV/atom
SG = C2/m
Density = 7.70 Mg/m³
Calculated volume = 32.403 A^3/atom

The structure in POSCAR format:
```
SmY4Th3
1.0
3.5808 -7.1422 0.0000
3.5808 7.1422 0.0000
-3.5494 0.0000 5.0680
Sm Y Th
1 4 3
direct
0.0000 0.0000 0.0000
0.2527 0.7473 0.0000
0.3761 0.6239 0.5000
0.6239 0.3761 0.5000
0.7473 0.2527 0.0000
0.1220 0.8780 0.5000
0.5000 0.5000 0.0000
0.8780 0.1220 0.5000
```


8.
A geometry-optimized Sm2Y3Th2 structure. Source: Alexandria, functional PBE-GGA.

## Properties
ΔE_f = 0.146 eV/atom
Total energy = -6.09 eV/atom
SG = C2/m
Density = 7.42 Mg/m³
E above lowest polymorph = 103.6 meV/atom
Calculated volume = 32.974 A^3/atom

The structure in POSCAR format:
```
Sm2Y3Th2
1.0
8.8140 -1.7298 0.0000
8.8140 1.7298 0.0000
-4.2434 0.0000 7.5694
Sm Y Th
2 3 2
direct
0.0623 0.0623 0.2146
0.9377 0.9377 0.7854
0.2841 0.2841 0.3664
0.5000 0.5000 0.5000
0.7159 0.7159 0.6336
0.3468 0.3468 0.0440
0.6532 0.6532 0.9560
```